Entry 1:
Here is an optimized crystal structure of NiAs2Cl from Alexandria via LeMat-Bulk. Energies are from PBE.

Cell: 3.3163 3.3163 25.3161 Å, 90.00 90.00 120.00°
Space group R3m (No. 160, hexagonal axes)
Symmetry-distinct sites (fractional):
Ni 0.0000 0.0000 0.0000 [3 per cell]
As 0.0000 0.0000 0.2767 [3 per cell]
As 0.0000 0.0000 0.5330 [3 per cell]
Cl 0.0000 0.0000 0.7209 [3 per cell]

Calculated values
- E: -0.1586 Ha/atom
- Energy above the lowest structure with this stoichiometry: 162 meV/atom
- ρ: 5.0 Mg/m³
- Calculated volume: 20.09 Å³ per atom
- Formation energy without anion corrections: -0.34 eV per formula unit



Entry 2:
Here is an optimized crystal structure of NiAsCl from Alexandria via LeMat-Bulk. Energies are from PBE.

Cell: 3.014 3.014 11.997 Å, 90.00 90.00 90.00°
Space group I4mm (No. 107)
Symmetry-distinct sites (fractional):
Ni 0.000 0.000 0.000 [2 per cell]
As 0.000 0.000 0.612 [2 per cell]
Cl 0.000 0.000 0.371 [2 per cell]

Calculated values
- E: -0.1506 Ha/atom
- Energy above the lowest structure with this stoichiometry: 289 meV/atom
- ρ: 5.2 Mg/m³
- Calculated volume: 18.17 Å³ per atom
- Formation energy without anion corrections: -0.02 eV per formula unit



Entry 3:
Here is an optimized crystal structure of Ni2AsCl from Alexandria via LeMat-Bulk. Energies are from PBE.

Cell: 3.044 6.568 7.183 Å, 90.00 90.00 90.00°
Space group Immm (No. 71)
Symmetry-distinct sites (fractional):
Ni 0.000 0.000 0.235 [4 per cell]
As 0.000 0.500 0.500 [2 per cell]
Cl 0.000 0.500 0.000 [2 per cell]

Calculated values
- E: -0.1600 Ha/atom
- Energy above the lowest structure with this stoichiometry: 381 meV/atom
- ρ: 5.3 Mg/m³
- Calculated volume: 17.95 Å³ per atom
- Formation energy without anion corrections: 0.64 eV per formula unit



Entry 4:
Here is an optimized crystal structure of Ni2AsCl from Alexandria via LeMat-Bulk. Energies are from PBE.

Cell: 3.079 3.079 6.248 Å, 90.00 90.00 90.00°
Space group P4/mmm (No. 123)
Symmetry-distinct sites (fractional):
Ni 0.000 0.000 0.203 [2 per cell]
As 0.500 0.500 0.000 [1 per cell]
Cl 0.500 0.500 0.500 [1 per cell]

Calculated values
- E: -0.1623 Ha/atom
- Energy above the lowest structure with this stoichiometry: 319 meV/atom
- ρ: 6.4 Mg/m³
- Calculated volume: 14.81 Å³ per atom
- Formation energy without anion corrections: 0.39 eV per formula unit



Entry 5:
Here is an optimized crystal structure of Ni2AsCl from Alexandria via LeMat-Bulk. Energies are from PBE.

Cell: 5.682 3.278 6.700 Å, 90.00 106.50 90.00°
Space group C2/m (No. 12)
Symmetry-distinct sites (fractional):
Ni 0.243 0.000 0.228 [4 per cell]
As 0.000 0.500 0.000 [2 per cell]
Cl 0.000 0.000 0.500 [2 per cell]

Calculated values
- E: -0.1691 Ha/atom
- Energy above the lowest structure with this stoichiometry: 135 meV/atom
- ρ: 6.3 Mg/m³
- Calculated volume: 14.96 Å³ per atom
- Formation energy without anion corrections: -0.34 eV per formula unit



Entry 6:
Here is an optimized crystal structure of NiAs2Cl from Alexandria via LeMat-Bulk. Energies are from PBE.

Cell: 4.382 3.419 6.602 Å, 90.00 103.24 90.00°
Space group Pm (No. 6)
Symmetry-distinct sites (fractional):
Ni 0.000 0.000 0.000 [1 per cell]
As 0.452 0.000 0.863 [1 per cell]
As 0.746 0.500 0.718 [1 per cell]
Cl 0.100 0.500 0.236 [1 per cell]

Calculated values
- E: -0.1609 Ha/atom
- Energy above the lowest structure with this stoichiometry: 100 meV/atom
- ρ: 4.2 Mg/m³
- Calculated volume: 24.08 Å³ per atom
- Formation energy without anion corrections: -0.59 eV per formula unit



Entry 7:
Here is an optimized crystal structure of Ni2AsCl from Alexandria via LeMat-Bulk. Energies are from PBE.

Cell: 3.148 3.148 6.808 Å, 90.00 90.00 90.00°
Space group P4mm (No. 99)
Symmetry-distinct sites (fractional):
Ni 0.000 0.000 0.000 [1 per cell]
Ni 0.500 0.500 0.194 [1 per cell]
As 0.000 0.000 0.356 [1 per cell]
Cl 0.500 0.500 0.838 [1 per cell]

Calculated values
- E: -0.1679 Ha/atom
- Energy above the lowest structure with this stoichiometry: 167 meV/atom
- ρ: 5.6 Mg/m³
- Calculated volume: 16.87 Å³ per atom
- Formation energy without anion corrections: -0.22 eV per formula unit



Entry 8:
Here is an optimized crystal structure of Ni2AsCl from Alexandria via LeMat-Bulk. Energies are from PBE.

Cell: 6.098 6.098 6.098 Å, 90.00 90.00 90.00°
Space group Fm-3m (No. 225)
Symmetry-distinct sites (fractional):
Ni 0.250 0.250 0.250 [8 per cell]
As 0.000 0.000 0.000 [4 per cell]
Cl 0.000 0.000 0.500 [4 per cell]

Calculated values
- E: -0.1549 Ha/atom
- Energy above the lowest structure with this stoichiometry: 520 meV/atom
- ρ: 6.7 Mg/m³
- Calculated volume: 14.17 Å³ per atom
- Formation energy without anion corrections: 1.20 eV per formula unit



Entry 9:
Here is an optimized crystal structure of Ni2AsCl from Alexandria via LeMat-Bulk. Energies are from PBE.

Cell: 3.333 3.434 5.856 Å, 90.00 90.00 90.00°
Space group Pmm2 (No. 25)
Symmetry-distinct sites (fractional):
Ni 0.000 0.000 0.000 [1 per cell]
Ni 0.500 0.000 0.343 [1 per cell]
As 0.000 0.500 0.262 [1 per cell]
Cl 0.500 0.000 0.736 [1 per cell]

Calculated values
- E: -0.1740 Ha/atom
- Energy above the lowest structure with this stoichiometry: 0 meV/atom
- ρ: 5.6 Mg/m³
- Calculated volume: 16.75 Å³ per atom
- Formation energy without anion corrections: -0.88 eV per formula unit



Entry 10:
Here is an optimized crystal structure of Ni2AsCl from Alexandria via LeMat-Bulk. Energies are from PBE.

Cell: 3.6297 3.6297 19.4053 Å, 90.00 90.00 120.00°
Space group R3m (No. 160, hexagonal axes)
Symmetry-distinct sites (fractional):
Ni 0.0000 0.0000 0.0000 [3 per cell]
Ni 0.0000 0.0000 0.2671 [3 per cell]
As 0.0000 0.0000 0.5630 [3 per cell]
Cl 0.0000 0.0000 0.7303 [3 per cell]

Calculated values
- E: -0.1696 Ha/atom
- Energy above the lowest structure with this stoichiometry: 120 meV/atom
- ρ: 5.1 Mg/m³
- Calculated volume: 18.45 Å³ per atom
- Formation energy without anion corrections: -0.40 eV per formula unit



Entry 11:
Here is an optimized crystal structure of NiAs2Cl from Alexandria via LeMat-Bulk. Energies are from PBE.

Cell: 4.633 8.326 3.864 Å, 90.00 90.00 90.00°
Space group Cmmm (No. 65)
Symmetry-distinct sites (fractional):
Ni 0.000 0.000 0.000 [2 per cell]
As 0.000 0.172 0.500 [4 per cell]
Cl 0.000 0.500 0.000 [2 per cell]

Calculated values
- E: -0.1616 Ha/atom
- Energy above the lowest structure with this stoichiometry: 81 meV/atom
- ρ: 5.4 Mg/m³
- Calculated volume: 18.63 Å³ per atom
- Formation energy without anion corrections: -0.66 eV per formula unit



Entry 12:
Here is an optimized crystal structure of Ni2AsCl from Alexandria via LeMat-Bulk. Energies are from PBE.

Cell: 3.318 3.318 12.264 Å, 90.00 90.00 90.00°
Space group I-4m2 (No. 119)
Symmetry-distinct sites (fractional):
Ni 0.000 0.000 0.000 [2 per cell]
Ni 0.000 0.500 0.250 [2 per cell]
As 0.000 0.500 0.750 [2 per cell]
Cl 0.000 0.000 0.500 [2 per cell]

Calculated values
- E: -0.1560 Ha/atom
- Energy above the lowest structure with this stoichiometry: 490 meV/atom
- ρ: 5.6 Mg/m³
- Calculated volume: 16.87 Å³ per atom
- Formation energy without anion corrections: 1.08 eV per formula unit



Entry 13:
Here is an optimized crystal structure of NiAs2Cl from Alexandria via LeMat-Bulk. Energies are from PBE.

Cell: 4.580 4.580 6.465 Å, 90.00 90.00 90.00°
Space group I-4m2 (No. 119)
Symmetry-distinct sites (fractional):
Ni 0.000 0.000 0.000 [2 per cell]
As 0.000 0.000 0.500 [2 per cell]
As 0.000 0.500 0.750 [2 per cell]
Cl 0.000 0.500 0.250 [2 per cell]

Calculated values
- E: -0.1388 Ha/atom
- Energy above the lowest structure with this stoichiometry: 701 meV/atom
- ρ: 6.0 Mg/m³
- Calculated volume: 16.95 Å³ per atom
- Formation energy without anion corrections: 1.82 eV per formula unit



Entry 14:
Here is an optimized crystal structure of Ni2AsCl from Alexandria via LeMat-Bulk. Energies are from PBE.

Cell: 3.229 3.333 12.028 Å, 90.00 90.00 90.00°
Space group Imm2 (No. 44)
Symmetry-distinct sites (fractional):
Ni 0.000 0.000 0.000 [2 per cell]
Ni 0.000 0.500 0.326 [2 per cell]
As 0.000 0.500 0.865 [2 per cell]
Cl 0.000 0.000 0.613 [2 per cell]

Calculated values
- E: -0.1669 Ha/atom
- Energy above the lowest structure with this stoichiometry: 195 meV/atom
- ρ: 5.8 Mg/m³
- Calculated volume: 16.18 Å³ per atom
- Formation energy without anion corrections: -0.10 eV per formula unit



Entry 15:
Here is an optimized crystal structure of NiAs2Cl from Alexandria via LeMat-Bulk. Energies are from PBE.

Cell: 6.506 3.770 7.335 Å, 90.00 107.93 90.00°
Space group C2/m (No. 12)
Symmetry-distinct sites (fractional):
Ni 0.000 0.000 0.000 [2 per cell]
As 0.116 0.500 0.856 [4 per cell]
Cl 0.000 0.500 0.500 [2 per cell]

Calculated values
- E: -0.1646 Ha/atom
- Energy above the lowest structure with this stoichiometry: 0 meV/atom
- ρ: 4.7 Mg/m³
- Calculated volume: 21.40 Å³ per atom
- Formation energy without anion corrections: -0.99 eV per formula unit



Entry 16:
Here is an optimized crystal structure of NiAsCl from Alexandria via LeMat-Bulk. Energies are from PBE.

Cell: 3.3363 3.3363 6.7330 Å, 90.00 90.00 120.00°
Space group P3m1 (No. 156)
Symmetry-distinct sites (fractional):
Ni 0.0000 0.0000 0.0000 [1 per cell]
As 0.3333 0.6667 0.2060 [1 per cell]
Cl 0.6667 0.3333 0.7922 [1 per cell]

Calculated values
- E: -0.1612 Ha/atom
- Energy above the lowest structure with this stoichiometry: 0 meV/atom
- ρ: 4.3 Mg/m³
- Calculated volume: 21.64 Å³ per atom
- Formation energy without anion corrections: -0.89 eV per formula unit



Entry 17:
Here is an optimized crystal structure of Ni2AsCl from Alexandria via LeMat-Bulk. Energies are from PBE.

Cell: 4.365 4.365 2.939 Å, 90.00 90.00 90.00°
Space group P4/mmm (No. 123)
Symmetry-distinct sites (fractional):
Ni 0.000 0.500 0.000 [2 per cell]
As 0.000 0.000 0.500 [1 per cell]
Cl 0.500 0.500 0.500 [1 per cell]

Calculated values
- E: -0.1560 Ha/atom
- Energy above the lowest structure with this stoichiometry: 492 meV/atom
- ρ: 6.8 Mg/m³
- Calculated volume: 14.00 Å³ per atom
- Formation energy without anion corrections: 1.08 eV per formula unit



Entry 18:
Here is an optimized crystal structure of NiAsCl4 from Alexandria via LeMat-Bulk. Energies are from PBE.

Cell: 8.075 8.075 8.075 Å, 90.00 90.00 90.00°
Space group F-43m (No. 216)
Symmetry-distinct sites (fractional):
Ni 0.000 0.000 0.000 [4 per cell]
As 0.250 0.250 0.750 [4 per cell]
Cl 0.125 0.125 0.375 [16 per cell]

Calculated values
- E: -0.0676 Ha/atom
- ρ: 3.5 Mg/m³
- Calculated volume: 21.94 Å³ per atom
- Formation energy without anion corrections: 6.79 eV per formula unit



Entry 19:
Here is an optimized crystal structure of NiAs2Cl from Alexandria via LeMat-Bulk. Energies are from PBE.

Cell: 2.970 4.247 5.614 Å, 90.00 90.00 90.00°
Space group Pmmm (No. 47)
Symmetry-distinct sites (fractional):
Ni 0.000 0.000 0.000 [1 per cell]
As 0.000 0.500 0.500 [1 per cell]
As 0.500 0.500 0.000 [1 per cell]
Cl 0.500 0.000 0.500 [1 per cell]

Calculated values
- E: -0.1395 Ha/atom
- Energy above the lowest structure with this stoichiometry: 683 meV/atom
- ρ: 5.7 Mg/m³
- Calculated volume: 17.70 Å³ per atom
- Formation energy without anion corrections: 1.75 eV per formula unit



Entry 20:
Here is an optimized crystal structure of Ni3AsCl from Alexandria via LeMat-Bulk. Energies are from PBE.

Cell: 4.222 4.222 4.222 Å, 90.00 90.00 90.00°
Space group Pm-3m (No. 221)
Symmetry-distinct sites (fractional):
Ni 0.000 0.000 0.500 [3 per cell]
As 0.500 0.500 0.500 [1 per cell]
Cl 0.000 0.000 0.000 [1 per cell]

Calculated values
- E: -0.1525 Ha/atom
- Energy above the lowest structure with this stoichiometry: 86 meV/atom
- ρ: 6.3 Mg/m³
- Calculated volume: 15.05 Å³ per atom
- Formation energy without anion corrections: 3.09 eV per formula unit